This record from Alexandria describes a relaxed structure of Li4Mn2V3Sn3O16. The functional is GGA+U.

Values from the calculation:
As for the total magnetization: 13.000 μB per formula unit. As for the space group: P1 (1). Its uncorrected energy is -6.727 eV per atom.

Geometry as CIF:
```
data_Li4Mn2V3Sn3O16
_cell_length_a 6.127
_cell_length_b 6.146
_cell_length_c 10.003
_cell_angle_alpha 90.09
_cell_angle_beta 90.03
_cell_angle_gamma 119.75
_space_group_name_H-M_alt 'P 1'
_space_group_IT_number 1
loop_
_space_group_symop_operation_xyz
'x,y,z'
loop_
_atom_site_label
_atom_site_type_symbol
_atom_site_fract_x
_atom_site_fract_y
_atom_site_fract_z
_atom_site_occupancy
Li1 Li 0.000 0.000 0.000 1
Li2 Li 0.006 0.980 0.507 1
Li3 Li 0.381 0.676 0.896 1
Li4 Li 0.704 0.351 0.401 1
Mn1 Mn 0.364 0.666 0.507 1
Mn2 Mn 0.696 0.344 0.004 1
V1 V 0.691 0.847 0.224 1
V2 V 0.849 0.149 0.716 1
V3 V 0.877 0.656 0.727 1
Sn1 Sn 0.194 0.838 0.219 1
Sn2 Sn 0.201 0.348 0.222 1
Sn3 Sn 0.368 0.176 0.719 1
O1 O 0.004 0.504 0.829 1
O2 O 0.020 0.991 0.819 1
O3 O 0.021 0.006 0.325 1
O4 O 0.063 0.531 0.342 1
O5 O 0.155 0.304 0.611 1
O6 O 0.182 0.844 0.610 1
O7 O 0.332 0.155 0.102 1
O8 O 0.372 0.680 0.106 1
O9 O 0.523 0.533 0.337 1
O10 O 0.534 0.980 0.331 1
O11 O 0.555 0.491 0.836 1
O12 O 0.578 0.044 0.834 1
O13 O 0.707 0.340 0.610 1
O14 O 0.715 0.834 0.619 1
O15 O 0.850 0.699 0.113 1
O16 O 0.865 0.161 0.112 1
```